# 1
Compound: Ba3InHg2Au6
Source: Alexandria via LeMat-Bulk
Functional: GGA-PBE
Structure: optimized geometry

Output
As for the energy: -2.90 eV/atom. Its space group is P-3m1 (164). The value obtained for the density of states at the Fermi level is 3.378 states/eV/f.u. The calculated formation energy comes out at -506.7 meV per atom.

a = 6.7383 Å, b = 6.7383 Å, c = 8.9646 Å
α = 90.00°, β = 90.00°, γ = 120.00°
Closest atoms and distances in Å follow each position.
Positions (direct):
Ba1 0.3333 0.6667 0.6344  9 Au 3.43-3.46, 1 Hg 3.48
Ba2 0.6667 0.3333 0.3656  9 Au 3.43-3.46, 1 Hg 3.48
Ba3 0.0000 0.0000 0.0000  6 Au 3.45
In1 0.0000 0.0000 0.5000  6 Au 2.85
Hg1 0.6667 0.3333 0.9779  3 Au 3.00
Hg2 0.3333 0.6667 0.0221  3 Au 3.00
Au1 0.6241 0.8120 0.2976  1 In 2.85, 2 Au 2.94, 1 Hg 3.00
Au2 0.1880 0.3759 0.2976  1 In 2.85, 2 Au 2.94, 1 Hg 3.00
Au3 0.1880 0.8120 0.2976  1 In 2.85, 2 Au 2.94, 1 Hg 3.00
Au4 0.8120 0.6241 0.7024  1 In 2.85, 2 Au 2.94, 1 Hg 3.00
Au5 0.3759 0.1880 0.7024  1 In 2.85, 2 Au 2.94, 1 Hg 3.00
Au6 0.8120 0.1880 0.7024  1 In 2.85, 2 Au 2.94, 1 Hg 3.00

# 2
Compound: CaPm2Ag3
Source: Alexandria via LeMat-Bulk
Functional: GGA-PBE
Structure: optimized geometry

Output
As for the energy: -3.63 eV/atom. Its space group is P4/mmm (123). The value obtained for the density of states at the Fermi level is 3.567 states/eV/f.u. The offset from the most stable computed form comes out at 4 meV/atom. The calculated formation energy comes out at -288.3 meV per atom.

a = 3.7032 Å, b = 3.7032 Å, c = 11.3237 Å
α = 90.00°, β = 90.00°, γ = 90.00°
Closest atoms and distances in Å follow each position.
Positions (direct):
Ca1 0.5000 0.5000 0.5000  8 Ag 3.26
Pm1 0.5000 0.5000 0.8318  8 Ag 3.18-3.24
Pm2 0.5000 0.5000 0.1682  8 Ag 3.18-3.24
Ag1 0.0000 0.0000 0.0000  8 Pm 3.24
Ag2 0.0000 0.0000 0.6719  4 Pm 3.18, 4 Ca 3.26
Ag3 0.0000 0.0000 0.3281  4 Pm 3.18, 4 Ca 3.26

# 3
Compound: In2PSe
Source: Alexandria via LeMat-Bulk
Functional: GGA-PBE
Structure: optimized geometry

Output
As for the energy: -3.86 eV/atom. Its space group is R-3m (166). The value obtained for the density of states at the Fermi level is 0.909 states/eV/f.u. As for the uncorrected formation energy: -1.071 eV/f.u. The offset from the most stable computed form comes out at 0 meV/atom.

a = 7.0055 Å, b = 7.0055 Å, c = 7.0055 Å
α = 33.29°, β = 33.29°, γ = 33.29°
Closest atoms and distances in Å follow each position.
Positions (direct):
In1 0.7581 0.7581 0.7581  3 P 2.76, 3 Se 2.94
In2 0.2419 0.2419 0.2419  3 P 2.76, 3 Se 2.94
P1 0.5000 0.5000 0.5000  6 In 2.76
Se1 0.0000 0.0000 0.0000  6 In 2.94

- Among the records above, which one has the lowest energy?
  In2PSe

- Which of these has the highest energy?
  Ba3InHg2Au6

- Number 3 is which compound?
  In2PSe

- What is the formula in the second record?
  CaPm2Ag3